RbBiH3: optimized geometry, GGA-PBE.

It has space group Pm-3m (No. 221), with a = 4.545 Å, b = 4.545 Å, c = 4.545 Å, α = 90.00°, β = 90.00° and γ = 90.00°. The asymmetric unit holds Rb at (0.000, 0.000, 0.000), Bi at (0.500, 0.500, 0.500) and H at (0.000, 0.500, 0.500).

For the theoretical density, the calculation gives 5.26 Mg/m³. Its density of states at the Fermi level is 0.960 states/eV/f.u. The value obtained for the raw total energy is -14.1 eV/f.u. For the size of the total moment, the calculation gives 0.0 μB/f.u.